# 1
DFT (PBEsol) results for crystalline ScNbTeN2 at its relaxed geometry.

Cell lengths 4.057, 4.057, 5.523 Å; angles 90.00, 90.00, 90.00 degrees
Positions (direct):
Sc  0.000  0.000  0.000
Nb  0.500  0.500  0.500
Te  0.500  0.500  0.000
N  0.000  0.500  0.500
N  0.500  0.000  0.500

* theoretical density: 5.36 g/cm3
* ΔE_f (raw): -0.117 eV per atom
* space-group type: P4/mmm (123)
* size of the total moment: 0.00 μB/f.u.



# 2
DFT (PBEsol) results for crystalline RuPt7 at its relaxed geometry.

Cell lengths 5.506, 5.506, 5.506 Å; angles 60.00, 60.00, 60.00 degrees
Positions (direct):
Ru  0.000  0.000  0.000
Pt  0.000  0.000  0.500
Pt  0.000  0.500  0.000
Pt  0.000  0.500  0.500
Pt  0.500  0.000  0.000
Pt  0.500  0.000  0.500
Pt  0.500  0.500  0.000
Pt  0.500  0.500  0.500

* theoretical density: 20.63 g/cm3
* space-group type: Fm-3m (225)
* size of the total moment: 0.00 μB/f.u.
* energy relative to the elements: 0.038 eV per atom



# 3
DFT (PBEsol) results for crystalline Na3V3O8 at its relaxed geometry.

Cell lengths 5.465, 5.465, 6.720 Å; angles 90.00, 90.00, 120.00 degrees
Positions (direct):
Na  0.000  0.000  0.000
Na  0.333  0.667  0.653
Na  0.667  0.333  0.347
V  0.000  0.000  0.500
V  0.333  0.667  0.224
V  0.667  0.333  0.776
O  0.165  0.330  0.328
O  0.165  0.835  0.328
O  0.330  0.165  0.672
O  0.333  0.667  0.978
O  0.667  0.333  0.022
O  0.670  0.835  0.328
O  0.835  0.165  0.672
O  0.835  0.670  0.672

* theoretical density: 3.34 g/cm3
* ΔE_f (raw): -2.251 eV per atom
* space-group type: P-3m1 (164)
* size of the total moment: 2.02 μB/f.u.



# 4
DFT (PBEsol) results for crystalline Mg2Ag at its relaxed geometry.

Cell lengths 7.943, 7.943, 3.173 Å; angles 90.00, 90.00, 120.00 degrees
Positions (direct):
Mg  0.000  0.379  0.000
Mg  0.000  0.714  0.500
Mg  0.286  0.286  0.500
Mg  0.379  0.000  0.000
Mg  0.621  0.621  0.000
Mg  0.714  0.000  0.500
Ag  0.000  0.000  0.000
Ag  0.333  0.667  0.500
Ag  0.667  0.333  0.500

* theoretical density: 4.50 g/cm3
* space-group type: P-62m (189)
* size of the total moment: 0.00 μB/f.u.
* energy relative to the elements: -0.167 eV per atom



# 5
DFT (PBEsol) results for crystalline ReSiCl at its relaxed geometry.

Cell lengths 5.796, 5.796, 5.796 Å; angles 90.00, 90.00, 90.00 degrees
Positions (direct):
Re  0.000  0.000  0.000
Re  0.000  0.500  0.500
Re  0.500  0.000  0.500
Re  0.500  0.500  0.000
Si  0.000  0.000  0.500
Si  0.000  0.500  0.000
Si  0.500  0.000  0.000
Si  0.500  0.500  0.500
Cl  0.250  0.250  0.750
Cl  0.250  0.750  0.250
Cl  0.750  0.250  0.250
Cl  0.750  0.750  0.750

* theoretical density: 8.52 g/cm3
* ΔE_f (raw): 1.725 eV per atom
* space-group type: F-43m (216)
* size of the total moment: 1.48 μB/f.u.



# 6
DFT (PBEsol) results for crystalline ZrV3H at its relaxed geometry.

Cell lengths 3.985, 3.985, 3.985 Å; angles 90.00, 90.00, 90.00 degrees
Positions (direct):
Zr  0.000  0.000  0.000
V  0.000  0.500  0.500
V  0.500  0.000  0.500
V  0.500  0.500  0.000
H  0.500  0.500  0.500

* theoretical density: 6.43 g/cm3
* raw total energy: -40.39 eV for the cell shown
* space-group type: Pm-3m (221)
* size of the total moment: 0.00 μB/f.u.